(1)
The following is a GGA-PBE calculation of a relaxed Ca4CdInAg2 crystal, from Alexandria via LeMat-Bulk.

As for the total energy: -2.5199 eV per atom. The value obtained for the density of states at the Fermi level is 3.80 states/eV/f.u. The total moment comes out at 0.00 μB/cell.

The space group is R-3m (No. 166, hexagonal axes) and the conventional cell measures 5.3511, 5.3511 and 26.2219 Å, with angles of 90.00, 90.00 and 120.00 degrees. The inequivalent atoms are Ca at (0.0000, 0.0000, 0.1246), Ca at (0.0000, 0.0000, 0.3746), Cd at (0.0000, 0.0000, 0.5000), In at (0.0000, 0.0000, 0.0000) and Ag at (0.0000, 0.0000, 0.2500).


(2)
The following is a GGA-PBE calculation of a relaxed Th3Si2Ni4 crystal, from Alexandria via LeMat-Bulk.

As for the total energy: -6.9131 eV per atom. Its uncorrected formation energy is -0.665 eV per atom. The value obtained for the density of states at the Fermi level is 7.67 states/eV/f.u. The total moment comes out at 0.00 μB/cell.

The space group is C2/m (No. 12) and the conventional cell measures 10.776, 4.049 and 8.196 Å, with angles of 90.00, 105.29 and 90.00 degrees. The inequivalent atoms are Th at (0.000, 0.000, 0.000), Th at (0.162, 0.500, 0.672), Si at (0.114, 0.500, 0.285), Ni at (0.058, 0.000, 0.387) and Ni at (0.218, 0.500, 0.066).


(3)
The following is a GGA-PBE calculation of a relaxed Ba2CaZn3 crystal, from Alexandria via LeMat-Bulk.

As for the total energy: -1.7746 eV per atom. The value obtained for the density of states at the Fermi level is 4.31 states/eV/f.u. The total moment comes out at 0.00 μB/cell.

The space group is Cmmm (No. 65) and the conventional cell measures 5.649, 16.934 and 7.834 Å, with angles of 90.00, 90.00 and 90.00 degrees. The inequivalent atoms are Ba at (0.000, 0.000, 0.000), Ba at (0.000, 0.000, 0.500), Ba at (0.000, 0.334, 0.000), Ca at (0.000, 0.332, 0.500), Zn at (0.000, 0.174, 0.285) and Zn at (0.000, 0.500, 0.268).